Compound: CuSbO2F
Source: Alexandria
Functional: PBE
Structure: relaxed

Summary:
- symmetry = P4/mmm
- spin magnetization (μB per formula unit) = 0.00
- Fermi-level density of states (states/eV per cell) = 1.57
- calculated total energy (eV/cell) = -23.6
- volume (A^3/atom) = 11.965
- theoretical density (g/cm3) = 6.56

a b c (Å): 3.939 3.939 3.855
angles (deg): 90.00 90.00 90.00
Fractional positions:
1 O 0.500 0.000 0.000
2 O 0.000 0.500 0.000
3 F 0.000 0.000 0.500
4 Sb 0.500 0.500 0.500
5 Cu 0.000 0.000 0.000

Compound: Ca2SmP3Pt12
Source: Alexandria
Functional: PBE
Structure: relaxed

Summary:
- symmetry = R-3m
- formation enthalpy at 0 K (eV/atom) = -0.4020
- spin magnetization (μB per formula unit) = 0.00
- Fermi-level density of states (states/eV per cell) = 5.96
- calculated total energy (eV/cell) = -104.7
- volume (A^3/atom) = 19.706
- theoretical density (g/cm3) = 12.47

a b c (Å): 7.590 7.590 7.590
angles (deg): 66.87 66.87 66.87
Fractional positions:
1 Pt 0.339 0.900 0.339
2 Pt 0.148 0.148 0.596
3 Pt 0.596 0.148 0.148
4 P 0.000 0.000 0.500
5 Pt 0.100 0.661 0.661
6 Sm 0.000 0.000 0.000
7 P 0.500 0.000 0.000
8 Pt 0.661 0.661 0.100
9 Pt 0.148 0.596 0.148
10 Pt 0.852 0.852 0.404
11 Pt 0.900 0.339 0.339
12 Pt 0.852 0.404 0.852
13 Pt 0.339 0.339 0.900
14 Ca 0.593 0.593 0.593
15 Pt 0.661 0.100 0.661
16 Pt 0.404 0.852 0.852
17 Ca 0.407 0.407 0.407
18 P 0.000 0.500 0.000